(1)
Entry from Alexandria via LeMat-Bulk: a relaxed DyB4Ir2Rh2 crystal (GGA-PBE).

As for the density: 12.3 g/cm³. As for the total energy: -7.64 eV/atom. Its formation energy is -0.557 eV/atom.

The space group is P4_2mc (No. 105) and the conventional cell measures 5.370, 5.370 and 7.471 Å, with angles of 90.00, 90.00 and 90.00 degrees. The asymmetric unit holds Dy at (0.000, 0.500, 0.000), B at (0.000, 0.170, 0.352), B at (0.329, 0.500, 0.655), Ir at (0.248, 0.500, 0.357) and Rh at (0.000, 0.251, 0.647).

(2)
Entry from Alexandria via LeMat-Bulk: a relaxed SrFeHg2 crystal (GGA-PBE).

As for the density: 9.6 g/cm³. As for the total energy: -2.57 eV/atom. Its formation energy is 0.114 eV/atom.

The space group is P4/mmm (No. 123) and the conventional cell measures 3.552, 3.552 and 7.437 Å, with angles of 90.00, 90.00 and 90.00 degrees. The asymmetric unit holds Sr at (0.000, 0.000, 0.000), Fe at (0.000, 0.000, 0.500) and Hg at (0.500, 0.500, 0.300).

(3)
Entry from Alexandria via LeMat-Bulk: a relaxed TbGa2Ni5 crystal (GGA-PBE).

As for the density: 8.6 g/cm³. As for the total energy: -5.32 eV/atom. Its formation energy is -0.368 eV/atom.

The space group is Immm (No. 71) and the conventional cell measures 3.648, 6.639 and 9.453 Å, with angles of 90.00, 90.00 and 90.00 degrees. The asymmetric unit holds Tb at (0.000, 0.000, 0.000), Ga at (0.000, 0.500, 0.247), Ni at (0.000, 0.188, 0.367) and Ni at (0.000, 0.500, 0.000).

(4)
Entry from Alexandria via LeMat-Bulk: a relaxed CaCuSnPt2 crystal (GGA-PBE).

As for the density: 7.3 g/cm³. As for the total energy: -3.22 eV/atom. Its formation energy is 1.218 eV/atom.

The space group is P4/mmm (No. 123) and the conventional cell measures 4.982, 4.982 and 5.623 Å, with angles of 90.00, 90.00 and 90.00 degrees. The asymmetric unit holds Ca at (0.000, 0.000, 0.000), Cu at (0.500, 0.500, 0.500), Sn at (0.000, 0.000, 0.500) and Pt at (0.000, 0.500, 0.000).

(5)
Entry from Alexandria via LeMat-Bulk: a relaxed NaCaNiH6 crystal (GGA-PBE).

As for the density: 2.5 g/cm³. As for the total energy: -3.51 eV/atom.

The space group is P3m1 (No. 156) and the conventional cell measures 4.7733, 4.7733 and 4.3044 Å, with angles of 90.00, 90.00 and 120.00 degrees. The asymmetric unit holds Na at (0.0000, 0.0000, 0.0000), Ca at (0.6667, 0.3333, 0.5025), Ni at (0.3333, 0.6667, 0.2446), H at (0.0177, 0.5089, 0.0380) and H at (0.1783, 0.3566, 0.4567).

(6)
Entry from Alexandria via LeMat-Bulk: a relaxed MnGeSCl2 crystal (GGA-PBE).

As for the density: 4.0 g/cm³. As for the total energy: -4.25 eV/atom. The energy above the most stable polymorph in this dataset comes out at 0.0345 eV per atom. The formation energy from raw total energies comes out at 0.08 eV per atom.

The space group is P4/mmm (No. 123) and the conventional cell measures 4.686, 4.686 and 4.406 Å, with angles of 90.00, 90.00 and 90.00 degrees. The asymmetric unit holds Mn at (0.000, 0.000, 0.000), Ge at (0.500, 0.500, 0.500), S at (0.000, 0.000, 0.500) and Cl at (0.000, 0.500, 0.000).

(7)
Entry from Alexandria via LeMat-Bulk: a relaxed K4Pu3ZrSe8 crystal (GGA-PBE).

As for the density: 5.7 g/cm³. As for the total energy: -6.68 eV/atom. The formation energy from raw total energies comes out at -1.44 eV per atom.

The space group is R-3m (No. 166, hexagonal axes) and the conventional cell measures 8.4140, 8.4140 and 22.9992 Å, with angles of 90.00, 90.00 and 120.00 degrees. The asymmetric unit holds K at (0.0000, 0.0000, 0.0000), K at (0.0000, 0.5000, 0.0000), Pu at (0.0000, 0.5000, 0.5000), Zr at (0.0000, 0.0000, 0.5000), Se at (0.0000, 0.0000, 0.2359) and Se at (0.0163, 0.5082, 0.2343).

(8)
Entry from Alexandria via LeMat-Bulk: a relaxed LaPuAgAu crystal (GGA-PBE).

As for the density: 11.0 g/cm³. As for the total energy: -6.66 eV/atom. Its formation energy is -0.317 eV/atom.

The space group is F-43m (No. 216) and the conventional cell measures 7.466, 7.466 and 7.466 Å, with angles of 90.00, 90.00 and 90.00 degrees. The asymmetric unit holds La at (0.000, 0.000, 0.000), Pu at (0.000, 0.000, 0.500), Ag at (0.250, 0.250, 0.750) and Au at (0.250, 0.250, 0.250).